PBE PmGaSi2, optimized geometry; offset from the most stable computed form = 6.1 kJ/mol of atoms; SG = Cmmm; DFT total energy = -4.88 eV/atom; formation energy without anion corrections = -21.4 kJ/mol of atoms
1.0
3.148 0.000 0.000
0.000 5.304 -0.452
0.000 -2.172 4.860
Pm Ga Si
1 1 2
direct
0.000 0.054 0.946
0.500 0.554 0.446
0.500 0.054 0.447
0.500 0.553 0.946


PBE Pm2Ga3Si4, optimized geometry; SG = Cmce; DFT total energy = -4.79 eV/atom; formation energy without anion corrections = -30.2 kJ/mol of atoms
1.0
-0.668 -4.285 4.012
7.588 1.037 2.371
-1.890 7.116 2.935
Pm Ga Si
4 6 8
direct
0.116 0.582 0.231
0.884 0.418 0.769
0.384 0.082 0.769
0.616 0.918 0.231
0.000 0.000 0.000
0.500 0.500 0.000
0.535 0.750 0.569
0.965 0.250 0.431
0.465 0.250 0.431
0.035 0.750 0.569
0.703 0.750 0.906
0.797 0.250 0.094
0.297 0.250 0.094
0.203 0.750 0.906
0.187 0.945 0.375
0.813 0.055 0.625
0.313 0.445 0.625
0.687 0.555 0.375


PBE Pm3Ga4Si4, optimized geometry; SG = P-1; DFT total energy = -4.86 eV/atom; formation energy without anion corrections = -47.7 kJ/mol of atoms
1.0
-0.195 0.006 -4.217
0.673 -4.078 -0.031
-12.516 -4.150 0.080
Pm Ga Si
3 4 4
direct
0.030 0.637 0.724
0.970 0.363 0.276
0.000 0.000 0.000
0.487 0.092 0.814
0.194 0.251 0.500
0.805 0.749 0.500
0.513 0.908 0.186
0.534 0.544 0.910
0.466 0.456 0.090
0.403 0.818 0.369
0.597 0.182 0.631


PBE Pm12Ga2Si5, optimized geometry; SG = C2/m; DFT total energy = -5.10 eV/atom; formation energy without anion corrections = -34.4 kJ/mol of atoms
1.0
-7.041 0.054 -1.234
2.059 -1.551 8.887
0.191 9.554 -0.670
Pm Ga Si
12 2 5
direct
0.969 0.939 0.187
0.084 0.650 0.899
0.566 0.650 0.899
0.092 0.696 0.435
0.604 0.696 0.435
0.493 0.986 0.715
0.507 0.014 0.285
0.908 0.304 0.565
0.396 0.304 0.565
0.916 0.350 0.101
0.434 0.350 0.101
0.031 0.061 0.813
0.682 0.000 0.000
0.318 0.000 0.000
0.303 0.605 0.641
0.324 0.648 0.175
0.000 0.000 0.500
0.676 0.352 0.825
0.697 0.395 0.359


PBE Pm2Ga3Si, optimized geometry; SG = Pmm2; DFT total energy = -4.71 eV/atom; formation energy without anion corrections = -68.3 kJ/mol of atoms
1.0
4.230 0.000 0.000
0.000 4.202 0.000
0.000 0.000 7.282
Pm Ga Si
2 3 1
direct
0.000 0.500 0.006
0.000 0.000 0.495
0.500 0.000 0.831
0.500 0.000 0.166
0.500 0.500 0.666
0.500 0.500 0.335


PBE PmGa4Si2, optimized geometry; SG = Cmmm; DFT total energy = -4.12 eV/atom; formation energy without anion corrections = -15.8 kJ/mol of atoms
1.0
-2.672 -2.391 1.917
1.523 -3.305 -1.999
4.598 0.484 7.016
Pm Ga Si
1 4 2
direct
0.000 0.000 0.000
0.500 0.821 0.641
0.000 0.680 0.360
0.500 0.179 0.359
0.000 0.320 0.640
0.500 0.572 0.144
0.500 0.428 0.856


PBE Pm2Ga2Si, optimized geometry; offset from the most stable computed form = 5.1 kJ/mol of atoms; SG = C2/m; DFT total energy = -4.82 eV/atom; formation energy without anion corrections = -60.0 kJ/mol of atoms
1.0
-1.003 3.837 1.389
-5.773 1.197 -1.117
-4.128 -1.943 8.748
Pm Ga Si
4 4 2
direct
0.313 0.264 0.111
0.486 0.359 0.669
0.687 0.736 0.889
0.514 0.641 0.331
0.965 0.177 0.892
0.171 0.218 0.439
0.035 0.823 0.108
0.829 0.782 0.561
0.809 0.063 0.319
0.191 0.937 0.681


PBE Pm4GaSi, optimized geometry; SG = P2_1/c; DFT total energy = -4.86 eV/atom; formation energy without anion corrections = -27.6 kJ/mol of atoms
1.0
7.228 0.000 0.058
0.000 7.222 0.000
-0.048 0.000 7.233
Pm Ga Si
8 2 2
direct
0.835 0.667 0.173
0.665 0.167 0.827
0.326 0.328 0.333
0.174 0.828 0.667
0.165 0.333 0.827
0.335 0.833 0.173
0.674 0.672 0.667
0.826 0.172 0.333
0.000 0.000 0.000
0.500 0.500 0.000
0.500 0.000 0.500
0.000 0.500 0.500